# PBE Tb2Pr2Ni15, relaxed
# energy: -5.7467 eV/atom
# energy relative to the elements: -3.649 eV per formula unit
data_Tb2Pr2Ni15
_chemical_formula_sum 'Tb6 Pr6 Ni45'
_symmetry_space_group_name_H-M 'R -3 m'
_symmetry_Int_Tables_number 166
_symmetry_space_group_name_Hall '-R 3 2"'
_cell_length_a 8.6191
_cell_length_b 8.6191
_cell_length_c 12.7061
_cell_angle_alpha 90.00
_cell_angle_beta 90.00
_cell_angle_gamma 120.00
loop_
_atom_site_label
_atom_site_type_symbol
_atom_site_fract_x
_atom_site_fract_y
_atom_site_fract_z
_atom_site_occupancy
Tb1 Tb 0.0000 0.0000 0.1108 1
Pr1 Pr 0.0000 0.0000 0.3583 1
Ni1 Ni 0.0000 0.3064 0.0000 1
Ni2 Ni 0.0000 0.5000 0.5000 1
Ni3 Ni 0.0084 0.5042 0.1572 1